# K2HfTaHg

A relaxed K2HfTaHg crystal (PBE-GGA, Alexandria).

Properties
Formation enthalpy at 0 K ... 2.12 eV per atom
Electronic total energy ... -2.74 eV/atom
Density ... 5.29 g cm⁻³
V ... 200.47 Å³/cell
SG ... P4/mmm (123)

Unit cell a=6.1833 b=5.2433 c=6.1833 alpha=90.00 beta=90.00 gamma=90.00
With the nearest neighbours (Å) after each atom.
Atoms (fractional coordinates):
K: 0.0000 0.0000 0.5000  2 Ta 3.09
K: 0.5000 0.0000 0.0000  2 Ta 3.09
Ta: 0.0000 0.0000 0.0000  2 Hg 2.62
Hf: 0.5000 0.5000 0.5000  8 K 4.05, 4 Hg 4.37
Hg: 0.0000 0.5000 0.0000  2 Ta 2.62


# K2HfTaHg

A relaxed K2HfTaHg crystal (PBE-GGA, Alexandria).

Properties
Formation enthalpy at 0 K ... 1.44 eV per atom
Electronic total energy ... -3.42 eV/atom
Density ... 4.67 g cm⁻³
V ... 227.14 Å³/cell
SG ... P4/mmm (123)

Unit cell a=6.7898 b=4.9270 c=6.7898 alpha=90.00 beta=90.00 gamma=90.00
With the nearest neighbours (Å) after each atom.
Atoms (fractional coordinates):
Ta: 0.0000 0.5000 0.0000  2 Hf 2.46
K: 0.0000 0.0000 0.5000  2 Hf 3.39
K: 0.5000 0.0000 0.0000  2 Hf 3.39
Hf: 0.0000 0.0000 0.0000  2 Ta 2.46
Hg: 0.5000 0.5000 0.5000  8 K 4.19


# KHf2TcHg

A relaxed KHf2TcHg crystal (PBE-GGA, Alexandria).

Properties
Formation enthalpy at 0 K ... 2.51 eV per atom
Electronic total energy ... -3.82 eV/atom
Density ... 10.07 g cm⁻³
V ... 114.55 Å³/cell
SG ... P4/mmm (123)

Unit cell a=4.7742 b=5.0256 c=4.7742 alpha=90.00 beta=90.00 gamma=90.00
With the nearest neighbours (Å) after each atom.
Atoms (fractional coordinates):
Hf: 0.0000 0.0000 0.5000  2 K 2.39
Hf: 0.5000 0.0000 0.0000  2 K 2.39
K: 0.0000 0.0000 0.0000  4 Hf 2.39, 2 Hg 2.51
Hg: 0.0000 0.5000 0.0000  2 K 2.51
Tc: 0.5000 0.5000 0.5000  4 Hg 3.38, 8 Hf 3.47


# KHfHgTe2

A relaxed KHfHgTe2 crystal (PBE-GGA, Alexandria).

Properties
Electronic total energy ... -4.08 eV/atom
Density ... 6.21 g cm⁻³
V ... 180.02 Å³/cell
SG ... P4/mmm (123)

Unit cell a=5.6399 b=5.6399 c=5.6593 alpha=90.00 beta=90.00 gamma=90.00
With the nearest neighbours (Å) after each atom.
Atoms (fractional coordinates):
K: 0.5000 0.5000 0.5000  4 Hg 3.99, 8 Te 3.99
Hg: 0.0000 0.0000 0.5000  2 Hf 2.83
Te: 0.0000 0.5000 0.0000  2 Hf 2.82
Te: 0.5000 0.0000 0.0000  2 Hf 2.82
Hf: 0.0000 0.0000 0.0000  4 Te 2.82, 2 Hg 2.83


# KHfTl2Hg

A relaxed KHfTl2Hg crystal (PBE-GGA, Alexandria).

Properties
Formation enthalpy at 0 K ... 0.99 eV per atom
Electronic total energy ... -2.23 eV/atom
Density ... 7.52 g cm⁻³
V ... 182.57 Å³/cell
SG ... P4/mmm (123)

Unit cell a=5.6613 b=5.6964 c=5.6613 alpha=90.00 beta=90.00 gamma=90.00
With the nearest neighbours (Å) after each atom.
Atoms (fractional coordinates):
Hf: 0.5000 0.5000 0.5000  4 K 4.00, 8 Tl 4.02
K: 0.0000 0.5000 0.0000  2 Hg 2.85
Hg: 0.0000 0.0000 0.0000  4 Tl 2.83, 2 K 2.85
Tl: 0.0000 0.0000 0.5000  2 Hg 2.83
Tl: 0.5000 0.0000 0.0000  2 Hg 2.83


# KHf2TlHg

A relaxed KHf2TlHg crystal (PBE-GGA, Alexandria).

Properties
Formation enthalpy at 0 K ... 1.02 eV per atom
Electronic total energy ... -3.71 eV/atom
Density ... 7.82 g cm⁻³
V ... 170.16 Å³/cell
SG ... P4/mmm (123)

Unit cell a=5.3458 b=5.9541 c=5.3458 alpha=90.00 beta=90.00 gamma=90.00
With the nearest neighbours (Å) after each atom.
Atoms (fractional coordinates):
Tl: 0.5000 0.5000 0.5000  4 K 3.78, 8 Hf 4.00
Hf: 0.0000 0.0000 0.5000  2 Hg 2.67
Hf: 0.5000 0.0000 0.0000  2 Hg 2.67
K: 0.0000 0.5000 0.0000  2 Hg 2.98
Hg: 0.0000 0.0000 0.0000  4 Hf 2.67, 2 K 2.98


# KHfZnHg2

A relaxed KHfZnHg2 crystal (PBE-GGA, Alexandria).

Properties
Formation enthalpy at 0 K ... 1.38 eV per atom
Electronic total energy ... -1.20 eV/atom
Density ... 4.63 g cm⁻³
V ... 245.39 Å³/cell
SG ... P4/mmm (123)

Unit cell a=6.1484 b=6.4915 c=6.1484 alpha=90.00 beta=90.00 gamma=90.00
With the nearest neighbours (Å) after each atom.
Atoms (fractional coordinates):
Zn: 0.5000 0.5000 0.5000  4 Hf 4.35, 8 Hg 4.47
Hf: 0.0000 0.5000 0.0000  2 K 3.25
Hg: 0.0000 0.0000 0.5000  2 K 3.07
Hg: 0.5000 0.0000 0.0000  2 K 3.07
K: 0.0000 0.0000 0.0000  4 Hg 3.07, 2 Hf 3.25


# La2HfHg

A relaxed La2HfHg crystal (PBE-GGA, Alexandria).

Properties
Formation enthalpy at 0 K ... 0.38 eV per atom
Electronic total energy ... -4.65 eV/atom
Density ... 9.56 g cm⁻³
V ... 228.30 Å³/cell
SG ... I-42d (122)

Unit cell a=4.4675 b=4.4675 c=11.8668 alpha=79.15 beta=79.15 gamma=90.00
With the nearest neighbours (Å) after each atom.
Atoms (fractional coordinates):
La: 0.6220 0.1250 0.2500  4 La 3.14-3.18, 2 Hf 3.26, 2 Hg 3.27
La: 0.1280 0.6250 0.2500  4 La 3.14-3.18, 2 Hf 3.26, 2 Hg 3.27
La: 0.8750 0.8720 0.7500  4 La 3.14-3.18, 2 Hf 3.26, 2 Hg 3.27
La: 0.3750 0.3780 0.7500  4 La 3.14-3.18, 2 Hf 3.26, 2 Hg 3.27
Hg: 0.7500 0.2500 0.5000  4 Hf 3.16, 4 La 3.27
Hg: 0.0000 0.0000 0.0000  4 Hf 3.16, 4 La 3.27
Hf: 0.2500 0.7500 0.5000  4 Hg 3.16, 4 La 3.26
Hf: 0.5000 0.5000 0.0000  4 Hg 3.16, 4 La 3.26